[1]
Here is Be2RuPb after structural relaxation from Alexandria. Energies are from PBE.

```
Be2RuPb
1.0
-2.272 -2.029 0.386
1.201 -0.832 2.699
-3.437 4.399 2.885
Pb Ru Be
1 1 2
Direct
0.500 0.500 0.250
0.500 0.500 0.750
0.000 0.000 0.911
0.000 0.000 0.589
```

Calculated values
Energy relative to the elements (eV per formula unit): 0.51
SG: P4/mmm
Excess energy over the best structure of this formula in the dataset (kcal/mol of atoms): 0.862

=====

[2]
Here is Li2AsRuS after structural relaxation from Alexandria. Energies are from PBE.

```
Li2AsRuS
1.0
4.569 0.000 0.000
0.000 4.577 0.000
0.000 0.000 4.569
Ru As S Li
1 1 1 2
Direct
0.000 0.500 0.000
0.000 0.000 0.000
0.500 0.500 0.500
0.000 0.000 0.500
0.500 0.000 0.000
```

Calculated values
Uncorrected formation energy (eV per atom): 0.200
SG: P4/mmm
Excess energy over the best structure of this formula in the dataset (kcal/mol of atoms): 8.753

=====

[3]
Here is Cl after structural relaxation from Alexandria. Energies are from PBE.

```
Cl
1.0
4.423 -0.066 0.000
-1.995 3.948 0.000
0.000 0.000 8.105
Cl
4
Direct
0.920 0.920 0.393
0.080 0.080 0.893
0.690 0.690 0.607
0.310 0.310 0.107
```

Calculated values
Uncorrected formation energy (eV per atom): 0.008
SG: Cmc2_1
Excess energy over the best structure of this formula in the dataset (kcal/mol of atoms): 0.177

=====

[4]
Here is PuGeAu4 after structural relaxation from Alexandria. Energies are from PBE.

```
PuGeAu4
1.0
-3.970 0.992 -0.147
-1.723 -6.216 4.601
0.863 4.380 6.241
Pu Ge Au
2 2 8
Direct
0.000 0.597 0.750
0.000 0.403 0.250
0.000 0.213 0.750
0.000 0.787 0.250
0.000 0.000 0.500
0.000 0.000 0.000
0.500 0.892 0.750
0.500 0.108 0.250
0.500 0.668 0.055
0.500 0.332 0.945
0.500 0.668 0.445
0.500 0.332 0.555
```

Calculated values
Energy relative to the elements (eV per formula unit): -1.37
SG: Pmma
Excess energy over the best structure of this formula in the dataset (kcal/mol of atoms): 0.000